Computed, not measured: a geometry-optimized BaCeCd2 structure at the PBE level of DFT.

POSCAR file:
```
BaCeCd2
1.0
3.829 0.000 0.000
-1.915 3.316 0.000
0.000 0.000 31.966
Ba Ce Cd
3 3 6
direct
0.000 0.000 0.000
0.333 0.667 0.667
0.667 0.333 0.333
0.000 0.000 0.500
0.333 0.667 0.167
0.667 0.333 0.833
0.000 0.000 0.245
0.000 0.000 0.755
0.333 0.667 0.422
0.333 0.667 0.911
0.667 0.333 0.089
0.667 0.333 0.578
```

**ΔH_f (0 K)**: 0.12 eV/f.u.
**Distance to the lowest polymorph of the same formula**: 0.226 eV/atom
**Uncorrected energy**: -28.72 eV per cell

---

Computed, not measured: a geometry-optimized Pu3CdRh3 structure at the PBE level of DFT.

POSCAR file:
```
Pu3CdRh3
1.0
4.141 -5.187 0.000
4.141 5.187 0.000
-0.100 0.000 7.016
Pu Cd Rh
6 2 6
direct
0.174 0.826 0.000
0.241 0.759 0.500
0.362 0.362 0.125
0.638 0.638 0.875
0.759 0.241 0.500
0.826 0.174 0.000
0.281 0.281 0.615
0.719 0.719 0.385
0.013 0.498 0.778
0.062 0.062 0.296
0.498 0.013 0.778
0.502 0.987 0.222
0.938 0.938 0.704
0.987 0.502 0.222
```

**ΔH_f (0 K)**: -1.97 eV/f.u.
**Uncorrected energy**: -135.87 eV per cell

---

Computed, not measured: a geometry-optimized CsS3N structure at the PBE level of DFT.

POSCAR file:
```
CsS3N
1.0
4.607 0.000 0.000
0.000 4.607 0.000
0.000 0.000 4.607
Cs S N
1 3 1
direct
0.000 0.000 0.000
0.000 0.500 0.500
0.500 0.000 0.500
0.500 0.500 0.000
0.500 0.500 0.500
```

**Uncorrected energy**: -16.48 eV per cell
**Formation energy (no corrections)**: 5.1 eV per formula unit

---

Computed, not measured: a geometry-optimized Pr2YSi2 structure at the PBE level of DFT.

POSCAR file:
```
Pr2YSi2
1.0
7.655 0.000 0.000
0.000 7.655 0.000
0.000 0.000 4.438
Pr Y Si
4 2 4
direct
0.177 0.323 0.000
0.323 0.823 0.000
0.677 0.177 0.000
0.823 0.677 0.000
0.000 0.000 0.500
0.500 0.500 0.500
0.114 0.614 0.500
0.386 0.114 0.500
0.614 0.886 0.500
0.886 0.386 0.500
```

**Distance to the lowest polymorph of the same formula**: 0.000 eV/atom
**Uncorrected energy**: -60.59 eV per cell
**Formation energy (no corrections)**: -3.4 eV per formula unit

---

Computed, not measured: a geometry-optimized Hg2C structure at the PBE level of DFT.

POSCAR file:
```
Hg2C
1.0
7.648 0.000 0.000
0.000 13.213 0.000
0.000 0.000 4.392
Hg C
8 4
direct
0.000 0.000 0.000
0.000 0.206 0.500
0.000 0.500 0.500
0.000 0.794 0.500
0.500 0.000 0.500
0.500 0.294 0.500
0.500 0.500 0.000
0.500 0.706 0.500
0.000 0.452 0.000
0.000 0.548 0.000
0.500 0.048 0.000
0.500 0.952 0.000
```

**ΔH_f (0 K)**: 2.93 eV/f.u.
**Distance to the lowest polymorph of the same formula**: 0.504 eV/atom
**Uncorrected energy**: -27.60 eV per cell

---

Computed, not measured: a geometry-optimized ZrSc2AgN structure at the PBE level of DFT.

POSCAR file:
```
ZrSc2AgN
1.0
4.427 0.000 0.000
0.000 4.427 0.000
0.000 0.000 4.504
Zr Sc Ag N
1 2 1 1
direct
0.000 0.000 0.000
0.000 0.500 0.500
0.500 0.000 0.500
0.500 0.500 0.000
0.000 0.000 0.500
```

**Uncorrected energy**: -36.61 eV per cell
**Formation energy (no corrections)**: -4.2 eV per formula unit

---

Computed, not measured: a geometry-optimized AcNd2Y4 structure at the PBE level of DFT.

POSCAR file:
```
AcNd2Y4
1.0
8.718 0.000 0.000
0.000 8.718 0.000
0.000 0.000 6.651
Ac Nd Y
2 4 8
direct
0.000 0.000 0.000
0.500 0.500 0.500
0.000 0.500 0.250
0.000 0.500 0.750
0.500 0.000 0.250
0.500 0.000 0.750
0.196 0.196 0.500
0.196 0.804 0.500
0.304 0.304 0.000
0.304 0.696 0.000
0.696 0.304 0.000
0.696 0.696 0.000
0.804 0.196 0.500
0.804 0.804 0.500
```

**ΔH_f (0 K)**: 1.45 eV/f.u.
**Uncorrected energy**: -76.10 eV per cell

---

Computed, not measured: a geometry-optimized YTm2Ru structure at the PBE level of DFT.

POSCAR file:
```
YTm2Ru
1.0
3.464 0.000 0.000
-1.732 3.000 0.000
0.000 0.000 31.734
Y Tm Ru
3 6 3
direct
0.000 0.000 0.000
0.333 0.667 0.667
0.667 0.333 0.333
0.000 0.000 0.107
0.000 0.000 0.893
0.333 0.667 0.559
0.333 0.667 0.774
0.667 0.333 0.226
0.667 0.333 0.441
0.000 0.000 0.500
0.333 0.667 0.167
0.667 0.333 0.833
```

**ΔH_f (0 K)**: 0.27 eV/f.u.
**Distance to the lowest polymorph of the same formula**: 0.420 eV/atom
**Uncorrected energy**: -73.24 eV per cell

---

Computed, not measured: a geometry-optimized MgBO3 structure at the PBE level of DFT.

POSCAR file:
```
MgBO3
1.0
3.857 0.000 0.000
0.000 3.857 0.000
0.000 0.000 3.857
Mg B O
1 1 3
direct
0.000 0.000 0.000
0.500 0.500 0.500
0.000 0.000 0.500
0.000 0.500 0.000
0.500 0.000 0.000
```

**Uncorrected energy**: -20.76 eV per cell
**Formation energy (no corrections)**: 2.4 eV per formula unit

---

Computed, not measured: a geometry-optimized NpSbAs2Ru5 structure at the PBE level of DFT.

POSCAR file:
```
NpSbAs2Ru5
1.0
3.973 0.000 0.000
0.000 3.973 0.000
0.000 0.000 11.104
Np Sb As Ru
1 1 2 5
direct
0.000 0.000 0.000
0.000 0.000 0.500
0.500 0.500 0.217
0.500 0.500 0.783
0.000 0.500 0.341
0.000 0.500 0.659
0.500 0.000 0.341
0.500 0.000 0.659
0.500 0.500 0.000
```

**Uncorrected energy**: -71.90 eV per cell
**Formation energy (no corrections)**: 0.8 eV per formula unit